one | This record from the Alexandria database describes Tm4OsAu after structural relaxation. The functional is PBE.

Lattice parameters (Å, degrees): 4.803 4.803 6.846 89.96 89.98 90.00
Positions (direct):
Tm1 0.501 0.997 0.260
Tm2 0.501 0.998 0.736
Tm3 0.001 0.498 0.736
Tm4 0.001 0.497 0.261
Os1 0.001 0.997 0.498
Au1 0.501 0.497 0.998

Properties
As for the density of states at the Fermi level: 0.849 states/eV per atom. The symmetry is No. 123.

***

two | This record from the Alexandria database describes Tm4OsAu after structural relaxation. The functional is PBE.

Lattice parameters (Å, degrees): 6.158 7.418 7.418 112.70 98.05 98.05
Positions (direct):
Tm1 0.920 0.633 0.782
Tm2 0.038 0.929 0.277
Tm3 0.580 0.218 0.367
Tm4 0.462 0.723 0.071
Tm5 0.538 0.277 0.929
Tm6 0.420 0.782 0.633
Tm7 0.962 0.071 0.723
Tm8 0.080 0.367 0.218
Os1 0.250 0.999 0.001
Os2 0.750 0.001 0.999
Au1 0.750 0.629 0.371
Au2 0.250 0.371 0.629

Properties
As for the density of states at the Fermi level: 0.862 states/eV per atom. The symmetry is No. 15.

***

Ranked by calculated energy, most stable first: two, one.

***

one | This record from the Alexandria database describes V2Os2Au after structural relaxation. The functional is PBE.

Lattice parameters (Å, degrees): 7.279 7.279 2.869 90.00 90.00 90.00
Positions (direct):
Au1 0.000 0.000 0.000
Au2 0.500 0.500 0.000
Os1 0.362 0.862 0.000
Os2 0.862 0.638 0.000
Os3 0.638 0.138 0.000
Os4 0.138 0.362 0.000
V1 0.157 0.657 0.500
V2 0.657 0.843 0.500
V3 0.843 0.343 0.500
V4 0.343 0.157 0.500

Properties
As for the density of states at the Fermi level: 0.837 states/eV per atom. The symmetry is No. 127.

***

two | This record from the Alexandria database describes V2Os2Au after structural relaxation. The functional is PBE.

Lattice parameters (Å, degrees): 3.990 3.990 6.007 70.60 70.60 90.00
Positions (direct):
Au1 0.000 0.000 0.000
Os1 0.380 0.380 0.239
Os2 0.620 0.620 0.761
V1 0.750 0.250 0.500
V2 0.250 0.750 0.500

Properties
As for the density of states at the Fermi level: 0.869 states/eV per atom. The symmetry is No. 139.

***

Ranked by calculated energy, most stable first: one, two.

***

one | This record from the Alexandria database describes OsWAu after structural relaxation. The functional is PBE.

Lattice parameters (Å, degrees): 4.912 4.912 4.912 146.20 133.12 59.04
Positions (direct):
Au1 0.000 0.000 0.000
Os1 0.325 0.325 0.000
W1 0.676 0.676 0.000

Properties
As for the density of states at the Fermi level: 0.662 states/eV per atom. The symmetry is No. 44.

***

two | This record from the Alexandria database describes OsWAu after structural relaxation. The functional is PBE.

Lattice parameters (Å, degrees): 4.316 4.316 4.316 60.00 60.00 60.00
Positions (direct):
Au1 0.500 0.500 0.500
Os1 0.750 0.750 0.750
W1 0.000 0.000 0.000

Properties
As for the density of states at the Fermi level: 0.952 states/eV per atom. The symmetry is No. 216.

***

three | This record from the Alexandria database describes OsWAu after structural relaxation. The functional is PBE.

Lattice parameters (Å, degrees): 6.184 6.184 6.184 152.93 152.93 38.65
Positions (direct):
Au1 0.000 0.000 0.000
Os1 0.680 0.680 0.000
W1 0.320 0.320 0.000

Properties
As for the density of states at the Fermi level: 0.797 states/eV per atom. The symmetry is No. 107.

***

four | This record from the Alexandria database describes OsWAu after structural relaxation. The functional is PBE.

Lattice parameters (Å, degrees): 2.816 2.816 7.042 90.00 90.00 120.00
Positions (direct):
Au1 0.000 0.000 0.000
Os1 0.333 0.667 0.351
W1 0.667 0.333 0.650

Properties
As for the density of states at the Fermi level: 0.551 states/eV per atom. The symmetry is No. 156.

***

Ranked by calculated energy, most stable first: four, one, three, two.

***

one | This record from the Alexandria database describes Os3WAu after structural relaxation. The functional is PBE.

Lattice parameters (Å, degrees): 4.721 4.721 4.721 90.00 90.00 90.00
Positions (direct):
Os1 0.000 0.500 0.000
Os2 0.000 0.000 0.500
Os3 0.500 0.000 0.000
Au1 0.500 0.500 0.500
W1 0.000 0.000 0.000

Properties
As for the density of states at the Fermi level: 1.005 states/eV per atom. The symmetry is No. 221.

***

two | This record from the Alexandria database describes Os3WAu after structural relaxation. The functional is PBE.

Lattice parameters (Å, degrees): 4.704 4.704 4.704 90.00 90.00 90.00
Positions (direct):
Os1 0.000 0.500 0.000
Os2 0.000 0.000 0.500
Os3 0.500 0.000 0.000
Au1 0.000 0.000 0.000
W1 0.500 0.500 0.500

Properties
As for the density of states at the Fermi level: 2.024 states/eV per atom. The symmetry is No. 221.

***

Ranked by calculated energy, most stable first: one, two.

***

one | This record from the Alexandria database describes OsW3Au after structural relaxation. The functional is PBE.

Lattice parameters (Å, degrees): 4.737 4.737 4.737 90.00 90.00 90.00
Positions (direct):
Os1 0.500 0.500 0.500
Au1 0.000 0.000 0.000
W1 0.000 0.500 0.000
W2 0.000 0.000 0.500
W3 0.500 0.000 0.000

Properties
As for the density of states at the Fermi level: 1.625 states/eV per atom. The symmetry is No. 221.

***

two | This record from the Alexandria database describes OsW3Au after structural relaxation. The functional is PBE.

Lattice parameters (Å, degrees): 4.735 4.735 4.735 90.00 90.00 90.00
Positions (direct):
Os1 0.000 0.000 0.000
Au1 0.500 0.500 0.500
W1 0.000 0.500 0.000
W2 0.000 0.000 0.500
W3 0.500 0.000 0.000

Properties
As for the density of states at the Fermi level: 0.990 states/eV per atom. The symmetry is No. 221.

***

Ranked by calculated energy, most stable first: two, one.

***

one | This record from the Alexandria database describes Os2WAu after structural relaxation. The functional is PBE.

Lattice parameters (Å, degrees): 3.807 4.018 4.018 90.00 90.00 90.00
Positions (direct):
Au1 0.500 0.000 0.500
Os1 0.000 0.000 0.000
Os2 0.000 0.500 0.500
W1 0.500 0.500 0.000

Properties
As for the density of states at the Fermi level: 0.892 states/eV per atom. The symmetry is No. 123.

***

two | This record from the Alexandria database describes Os2WAu after structural relaxation. The functional is PBE.

Lattice parameters (Å, degrees): 9.522 9.522 9.522 16.79 16.79 16.79
Positions (direct):
Au1 0.750 0.750 0.750
Os1 0.995 0.995 0.995
Os2 0.505 0.505 0.505
W1 0.250 0.250 0.250

Properties
As for the density of states at the Fermi level: 0.622 states/eV per atom. The symmetry is No. 166.

***

Ranked by calculated energy, most stable first: two, one.